# 1
DFT (PBE-GGA) results for crystalline VSiS at its relaxed geometry.

## Properties
Volume in Å³ per atom: 16.00
E_form (uncorrected) in eV per atom: -0.358

a b c (Å): 7.8791 3.0660 8.5093
angles (deg): 90.00 110.97 90.00
Positions (direct):
S  0.6773  0.0000  0.7706
S  0.6773  0.5000  0.2706
S  0.4103  0.0000  0.9199
S  0.4103  0.5000  0.4199
Si  0.9982  0.0000  0.5848
Si  0.9982  0.5000  0.0848
Si  0.1438  0.0000  0.9340
Si  0.1438  0.5000  0.4340
V  0.8983  0.0000  0.2708
V  0.8983  0.5000  0.7708
V  0.6556  0.0000  0.4857
V  0.6556  0.5000  0.9857

---

# 2
DFT (PBE-GGA) results for crystalline TiGeSe3 at its relaxed geometry.

## Properties
Volume in Å³ per atom: 29.10
E_form (uncorrected) in eV per atom: -0.635

a b c (Å): 4.0326 6.6160 11.0925
angles (deg): 90.00 100.47 90.00
Positions (direct):
Ti  0.8858  0.9306  0.7716
Ti  0.1142  0.4306  0.2284
Ge  0.3355  0.5318  0.6710
Ge  0.6645  0.0318  0.3290
Se  0.8842  0.2816  0.7684
Se  0.1158  0.7816  0.2316
Se  0.5662  0.2724  0.1325
Se  0.4338  0.7724  0.8675
Se  0.7873  0.7776  0.5747
Se  0.2127  0.2776  0.4253

---

# 3
DFT (PBE-GGA) results for crystalline ReHg at its relaxed geometry.

## Properties
Volume in Å³ per atom: 17.88
Energy above the lowest structure with this stoichiometry in meV per atom: 596

a b c (Å): 2.8801 2.8801 5.0159
angles (deg): 90.00 90.00 120.75
Positions (direct):
Hg  0.0000  0.0000  0.0000
Re  0.5000  0.5000  0.5000

---

# 4
DFT (PBE-GGA) results for crystalline TbIn4Pb at its relaxed geometry.

## Properties
Total energy in eV/atom: -3.315
Volume in Å³ per atom: 26.97

a b c (Å): 6.1166 6.1166 6.1166
angles (deg): 60.00 60.00 60.00
Positions (direct):
Pb  0.0000  0.0000  0.0000
Tb  0.2500  0.2500  0.2500
In  0.6248  0.6248  0.1255
In  0.6248  0.1255  0.6248
In  0.6248  0.6248  0.6248
In  0.1255  0.6248  0.6248

---

# 5
DFT (PBE-GGA) results for crystalline Ta2HgPb at its relaxed geometry.

## Properties
Volume in Å³ per atom: 22.03
Energy above the lowest structure with this stoichiometry in meV per atom: 562

a b c (Å): 7.7286 7.7286 6.2109
angles (deg): 51.52 51.52 90.00
Positions (direct):
Pb  0.0000  0.0000  0.0000
Pb  0.7500  0.2500  0.5000
Hg  0.5000  0.5000  0.0000
Hg  0.2500  0.7500  0.5000
Ta  0.6213  0.1250  0.2500
Ta  0.1287  0.6250  0.2500
Ta  0.3750  0.3787  0.7500
Ta  0.8750  0.8713  0.7500

---

# 6
DFT (PBE-GGA) results for crystalline ZrTi2Be2 at its relaxed geometry.

## Properties
Volume in Å³ per atom: 14.99
Energy above the lowest structure with this stoichiometry in meV per atom: 0

a b c (Å): 7.0440 7.0440 3.0217
angles (deg): 90.00 90.00 90.00
Positions (direct):
Be  0.3892  0.8892  0.0000
Be  0.8892  0.6108  0.0000
Be  0.6108  0.1108  0.0000
Be  0.1108  0.3892  0.0000
Zr  0.0000  0.0000  0.0000
Zr  0.5000  0.5000  0.0000
Ti  0.1782  0.6782  0.5000
Ti  0.6782  0.8218  0.5000
Ti  0.8218  0.3218  0.5000
Ti  0.3218  0.1782  0.5000

---

# 7
DFT (PBE-GGA) results for crystalline La3DyTh2 at its relaxed geometry.

## Properties
Volume in Å³ per atom: 34.09
Energy above the lowest structure with this stoichiometry in meV per atom: 0

a b c (Å): 3.6348 10.3294 10.8965
angles (deg): 90.26 90.00 90.00
Positions (direct):
La  0.7500  0.1356  0.5851
La  0.2500  0.8644  0.4149
La  0.7500  0.6233  0.2486
La  0.2500  0.3767  0.7514
La  0.2500  0.3585  0.0821
La  0.7500  0.6415  0.9179
Dy  0.2500  0.8751  0.7488
Dy  0.7500  0.1249  0.2512
Th  0.2500  0.3814  0.4189
Th  0.7500  0.6186  0.5811
Th  0.7500  0.1128  0.9180
Th  0.2500  0.8872  0.0820

---

# 8
DFT (PBE-GGA) results for crystalline LaTcRh2 at its relaxed geometry.

## Properties
Volume in Å³ per atom: 17.78
Energy above the lowest structure with this stoichiometry in meV per atom: 212

a b c (Å): 4.6508 4.6508 4.6508
angles (deg): 60.00 60.00 60.00
Positions (direct):
La  0.5000  0.5000  0.5000
Rh  0.0000  0.0000  0.0000
Rh  0.2500  0.2500  0.2500
Tc  0.7500  0.7500  0.7500

---

# 9
DFT (PBE-GGA) results for crystalline FeMoCl2 at its relaxed geometry.

## Properties
Volume in Å³ per atom: 16.98
E_form (uncorrected) in eV per atom: 0.495
Energy above the lowest structure with this stoichiometry in meV per atom: 703

a b c (Å): 5.6746 5.6746 2.8977
angles (deg): 61.08 61.08 90.28
Positions (direct):
Mo  0.0000  0.5000  0.5000
Fe  0.5000  0.0000  0.5000
Cl  0.0000  0.0000  0.0000
Cl  0.5000  0.5000  0.0000

---

# 10
DFT (PBE-GGA) results for crystalline ZrNbCu2Rh at its relaxed geometry.

## Properties
Total energy in eV/atom: -5.413
Volume in Å³ per atom: 20.99

a b c (Å): 4.6564 4.8413 4.6564
angles (deg): 90.00 90.00 90.00
Positions (direct):
Nb  0.0000  0.0000  0.0000
Rh  0.5000  0.5000  0.5000
Cu  0.0000  0.0000  0.5000
Cu  0.5000  0.0000  0.0000
Zr  0.0000  0.5000  0.0000

---

# 11
DFT (PBE-GGA) results for crystalline NbCu4Ir at its relaxed geometry.

## Properties
Total energy in eV/atom: -5.994
Volume in Å³ per atom: 13.05

a b c (Å): 4.8016 4.8016 4.8016
angles (deg): 60.00 60.00 60.00
Positions (direct):
Nb  0.2500  0.2500  0.2500
Ir  0.0000  0.0000  0.0000
Cu  0.6254  0.6254  0.1238
Cu  0.6254  0.1238  0.6254
Cu  0.6254  0.6254  0.6254
Cu  0.1238  0.6254  0.6254

---

# 12
DFT (PBE-GGA) results for crystalline Li4GaPd at its relaxed geometry.

## Properties
Volume in Å³ per atom: 13.72
Energy above the lowest structure with this stoichiometry in meV per atom: 187

a b c (Å): 4.8828 4.8828 4.8828
angles (deg): 60.00 60.00 60.00
Positions (direct):
Ga  0.2500  0.2500  0.2500
Pd  0.0000  0.0000  0.0000
Li  0.6259  0.6259  0.1222
Li  0.6259  0.1222  0.6259
Li  0.6259  0.6259  0.6259
Li  0.1222  0.6259  0.6259